[1]
{
  "formula": "SrTaAl2",
  "functional": "PBE-GGA",
  "state": "relaxed",
  "lattice": [[1.582, 0.913, 10.012], [-1.582, 0.913, 10.012], [0.000, -1.827, 10.012]],
  "species": ["Sr", "Ta", "Al", "Al"],
  "frac_coords": [[0.000, 0.000, 0.000], [0.500, 0.500, 0.500], [0.239, 0.239, 0.239], [0.761, 0.761, 0.761]],
  "de_polymorph_mev_per_atom": 284,
  "sg": "R-3m, No. 166"
}

[2]
{
  "formula": "LiPdI",
  "functional": "PBE-GGA",
  "state": "relaxed",
  "lattice": [[4.589, 0.000, 0.000], [-2.294, 3.974, 0.000], [0.000, 0.000, 3.883]],
  "species": ["Li", "Pd", "I"],
  "frac_coords": [[0.000, 0.000, 0.000], [0.667, 0.333, 0.500], [0.333, 0.667, 0.500]],
  "de_polymorph_mev_per_atom": 183,
  "sg": "P-6m2, No. 187",
  "raw_formation_energy_mev_per_atom": -375
}

[3]
{
  "formula": "Ca2TlAs",
  "functional": "PBE-GGA",
  "state": "relaxed",
  "lattice": [[-4.139, 4.139, 3.611], [4.139, -4.139, 3.611], [4.139, 4.139, -3.611]],
  "species": ["Ca", "Ca", "Ca", "Ca", "Tl", "Tl", "As", "As"],
  "frac_coords": [[0.082, 0.625, 0.957], [0.375, 0.332, 0.457], [0.668, 0.125, 0.043], [0.875, 0.918, 0.543], [0.250, 0.750, 0.500], [0.500, 0.500, 0.000], [0.000, 0.000, 0.000], [0.750, 0.250, 0.500]],
  "de_polymorph_mev_per_atom": 207,
  "sg": "I-42d, No. 122"
}

[4]
{
  "formula": "SbMoSe2",
  "functional": "PBE-GGA",
  "state": "relaxed",
  "lattice": [[4.878, 0.000, 0.000], [0.000, 4.878, 0.000], [0.000, 0.000, 3.340]],
  "species": ["Sb", "Mo", "Se", "Se"],
  "frac_coords": [[0.000, 0.000, 0.000], [0.500, 0.500, 0.000], [0.000, 0.500, 0.500], [0.500, 0.000, 0.500]],
  "sg": "P4/mmm, No. 123",
  "raw_formation_energy_mev_per_atom": 431
}

[5]
{
  "formula": "Er2PaRu4",
  "functional": "PBE-GGA",
  "state": "relaxed",
  "lattice": [[-3.302, 3.302, 3.216], [3.302, -3.302, 3.216], [3.302, 3.302, -3.216]],
  "species": ["Er", "Er", "Pa", "Ru", "Ru", "Ru", "Ru"],
  "frac_coords": [[0.000, 0.500, 0.500], [0.500, 0.000, 0.500], [0.000, 0.000, 0.000], [0.000, 0.000, 0.500], [0.000, 0.500, 0.000], [0.500, 0.000, 0.000], [0.500, 0.500, 0.500]],
  "sg": "I4/mmm, No. 139",
  "dft_energy_ev_per_atom": -7.95
}

[6]
{
  "formula": "TlTcAu2",
  "functional": "PBE-GGA",
  "state": "relaxed",
  "lattice": [[-1.448, 2.436, 5.556], [1.448, -2.436, 5.556], [1.448, 2.436, -5.556]],
  "species": ["Tl", "Tc", "Au", "Au"],
  "frac_coords": [[0.000, 0.000, 0.000], [0.500, 0.500, 0.000], [0.284, 0.784, 0.500], [0.716, 0.216, 0.500]],
  "de_polymorph_mev_per_atom": 34,
  "sg": "Immm, No. 71"
}

[7]
{
  "formula": "Dy3Pa2Se6",
  "functional": "PBE-GGA",
  "state": "relaxed",
  "lattice": [[2.032, 1.173, 20.372], [-2.032, 1.173, 20.372], [0.000, -2.346, 20.372]],
  "species": ["Dy", "Dy", "Dy", "Pa", "Pa", "Se", "Se", "Se", "Se", "Se", "Se"],
  "frac_coords": [[0.000, 0.000, 0.000], [0.277, 0.277, 0.277], [0.723, 0.723, 0.723], [0.443, 0.443, 0.443], [0.557, 0.557, 0.557], [0.082, 0.082, 0.082], [0.197, 0.197, 0.197], [0.361, 0.361, 0.361], [0.639, 0.639, 0.639], [0.803, 0.803, 0.803], [0.918, 0.918, 0.918]],
  "sg": "R-3m, No. 166",
  "raw_formation_energy_mev_per_atom": -1538
}

[8]
{
  "formula": "Li2MnVSe4",
  "functional": "PBE-GGA",
  "state": "relaxed",
  "lattice": [[6.502, 0.000, 0.000], [0.000, 3.711, 0.000], [-2.167, 0.000, 6.268]],
  "species": ["Li", "Li", "Mn", "V", "Se", "Se", "Se", "Se"],
  "frac_coords": [[0.000, 0.000, 0.000], [0.500, 0.500, 0.000], [0.000, 0.500, 0.500], [0.500, 0.000, 0.500], [0.244, 0.000, 0.728], [0.260, 0.500, 0.270], [0.740, 0.500, 0.730], [0.756, 0.000, 0.272]],
  "sg": "P2/m, No. 10",
  "raw_formation_energy_mev_per_atom": -820
}

[9]
{
  "formula": "AcGdFe4",
  "functional": "PBE-GGA",
  "state": "relaxed",
  "lattice": [[0.000, 3.743, 3.743], [3.743, 0.000, 3.743], [3.743, 3.743, 0.000]],
  "species": ["Ac", "Gd", "Fe", "Fe", "Fe", "Fe"],
  "frac_coords": [[0.000, 0.000, 0.000], [0.250, 0.250, 0.250], [0.127, 0.624, 0.624], [0.624, 0.127, 0.624], [0.624, 0.624, 0.127], [0.624, 0.624, 0.624]],
  "sg": "F-43m, No. 216",
  "dft_energy_ev_per_atom": -8.57
}

[10]
{
  "formula": "AcInTe4Pb2",
  "functional": "PBE-GGA",
  "state": "relaxed",
  "lattice": [[-3.333, 3.333, 6.624], [3.333, -3.333, 6.624], [3.333, 3.333, -6.624]],
  "species": ["Ac", "In", "Te", "Te", "Te", "Te", "Pb", "Pb"],
  "frac_coords": [[0.000, 0.000, 0.000], [0.750, 0.250, 0.500], [0.003, 0.503, 0.500], [0.250, 0.250, 0.000], [0.497, 0.997, 0.500], [0.750, 0.750, 0.000], [0.250, 0.750, 0.500], [0.500, 0.500, 0.000]],
  "sg": "I-4m2, No. 119",
  "raw_formation_energy_mev_per_atom": -707
}

[11]
{
  "formula": "AlRe2Ni",
  "functional": "PBE-GGA",
  "state": "relaxed",
  "lattice": [[4.394, -1.372, 0.000], [4.394, 1.372, 0.000], [-0.705, 0.000, 4.620]],
  "species": ["Al", "Re", "Re", "Ni"],
  "frac_coords": [[0.000, 0.000, 0.000], [0.245, 0.245, 0.705], [0.491, 0.491, 0.488], [0.745, 0.745, 0.196]],
  "sg": "Cm, No. 8",
  "dft_energy_ev_per_atom": -8.68
}

[12]
{
  "formula": "SrLiP2",
  "functional": "PBE-GGA",
  "state": "relaxed",
  "lattice": [[3.465, 0.000, 0.000], [0.000, 3.465, 0.000], [0.000, 0.000, 7.596]],
  "species": ["Sr", "Li", "P", "P"],
  "frac_coords": [[0.000, 0.000, 0.000], [0.500, 0.500, 0.390], [0.000, 0.000, 0.618], [0.500, 0.500, 0.709]],
  "de_polymorph_mev_per_atom": 584,
  "sg": "P4mm, No. 99"
}

Number 5 is which compound?
Er2PaRu4

Please write out number 6 again, unchanged.
{
  "formula": "TlTcAu2",
  "functional": "PBE-GGA",
  "state": "relaxed",
  "lattice": [[-1.448, 2.436, 5.556], [1.448, -2.436, 5.556], [1.448, 2.436, -5.556]],
  "species": ["Tl", "Tc", "Au", "Au"],
  "frac_coords": [[0.000, 0.000, 0.000], [0.500, 0.500, 0.000], [0.284, 0.784, 0.500], [0.716, 0.216, 0.500]],
  "de_polymorph_mev_per_atom": 34,
  "sg": "Immm, No. 71"
}